No. 1
Entry from Alexandria: a geometry-optimized AcAgHg2 structure (PBE-GGA).

Values from the calculation:
Crystal system = orthorhombic
Formation energy from the elements = -0.3415 eV per atom
Final energy = -2.232 eV/atom
Energy above the most stable polymorph in this dataset = 0.000 eV/atom

abc: 9.436 7.833 5.838
angles: 90.00 90.00 90.00
Element x y z (fractional)
Ac  0.070  0.250  0.157
Ac  0.430  0.750  0.657
Ac  0.570  0.250  0.343
Ac  0.930  0.750  0.843
Ag  0.097  0.750  0.346
Ag  0.403  0.250  0.846
Ag  0.597  0.750  0.154
Ag  0.903  0.250  0.654
Hg  0.172  0.044  0.654
Hg  0.172  0.456  0.654
Hg  0.328  0.544  0.154
Hg  0.328  0.956  0.154
Hg  0.672  0.044  0.846
Hg  0.672  0.456  0.846
Hg  0.828  0.544  0.346
Hg  0.828  0.956  0.346

No. 2
Entry from Alexandria: a geometry-optimized AcAgHg2 structure (PBE-GGA).

Values from the calculation:
Crystal system = cubic
Formation energy from the elements = -0.3192 eV per atom
Final energy = -2.210 eV/atom
Energy above the most stable polymorph in this dataset = 0.022 eV/atom

abc: 7.535 7.535 7.535
angles: 90.00 90.00 90.00
Element x y z (fractional)
Ac  0.000  0.000  0.000
Ac  0.000  0.500  0.500
Ac  0.500  0.000  0.500
Ac  0.500  0.500  0.000
Ag  0.000  0.000  0.500
Ag  0.000  0.500  0.000
Ag  0.500  0.000  0.000
Ag  0.500  0.500  0.500
Hg  0.250  0.250  0.250
Hg  0.250  0.250  0.750
Hg  0.250  0.750  0.250
Hg  0.250  0.750  0.750
Hg  0.750  0.250  0.250
Hg  0.750  0.250  0.750
Hg  0.750  0.750  0.250
Hg  0.750  0.750  0.750

No. 3
Entry from Alexandria: a geometry-optimized AcAgHg structure (PBE-GGA).

Values from the calculation:
Crystal system = triclinic
Formation energy from the elements = -0.3249 eV per atom
Final energy = -2.745 eV/atom
Energy above the most stable polymorph in this dataset = 0.083 eV/atom

abc: 4.948 5.852 6.519
angles: 89.52 89.93 65.06
Element x y z (fractional)
Ac  0.194  0.112  0.248
Ac  0.806  0.888  0.752
Ag  0.112  0.278  0.747
Ag  0.888  0.722  0.253
Hg  0.500  0.500  0.000
Hg  0.500  0.500  0.500

- Which value of energy above the most stable polymorph in this dataset does entry 1 give?
  0.000 eV/atom

- What is the formation energy from the elements in the second record?
  -0.3192 eV per atom